1.
CrAgPt2: relaxed, GGA-PBE.

For the excess energy over the best structure of this formula in the dataset, the calculation gives 213 meV per atom.

The structure belongs to space group R3m (No. 160, hexagonal axes); the cell edges are 2.7615, 2.7615 and 27.5785 Å and the angles 90.00°, 90.00° and 120.00°. The distinct sites, in fractional coordinates, are Cr at (0.0000, 0.0000, 0.0000), Ag at (0.0000, 0.0000, 0.7514), Pt at (0.0000, 0.0000, 0.2606) and Pt at (0.0000, 0.0000, 0.5061).

2.
CrAgPt2: relaxed, GGA-PBE.

For the excess energy over the best structure of this formula in the dataset, the calculation gives 65 meV per atom.

The structure belongs to space group P4/mmm (No. 123); the cell edges are 4.0053, 4.0053 and 3.8960 Å and the angles 90.00°, 90.00° and 90.00°. The distinct sites, in fractional coordinates, are Cr at (0.0000, 0.0000, 0.0000), Ag at (0.5000, 0.5000, 0.0000) and Pt at (0.0000, 0.5000, 0.5000).

3.
Cr2AgPt: relaxed, GGA-PBE.

The structure belongs to space group P4/mmm (No. 123); the cell edges are 3.8203, 3.8203 and 3.9448 Å and the angles 90.00°, 90.00° and 90.00°. The distinct sites, in fractional coordinates, are Cr at (0.0000, 0.5000, 0.0000), Ag at (0.0000, 0.0000, 0.5000) and Pt at (0.5000, 0.5000, 0.5000).

4.
CrAgPt: relaxed, GGA-PBE.

For the excess energy over the best structure of this formula in the dataset, the calculation gives 317 meV per atom.

The structure belongs to space group F-43m (No. 216); the cell edges are 6.1684, 6.1684 and 6.1684 Å and the angles 90.00°, 90.00° and 90.00°. The distinct sites, in fractional coordinates, are Cr at (0.0000, 0.0000, 0.0000), Ag at (0.0000, 0.0000, 0.5000) and Pt at (0.2500, 0.2500, 0.2500).

5.
CrAgPt: relaxed, GGA-PBE.

For the excess energy over the best structure of this formula in the dataset, the calculation gives 77 meV per atom.

The structure belongs to space group P-6m2 (No. 187); the cell edges are 4.4594, 4.4594 and 2.8673 Å and the angles 90.00°, 90.00° and 120.00°. The distinct sites, in fractional coordinates, are Cr at (0.0000, 0.0000, 0.0000), Ag at (0.3333, 0.6667, 0.5000) and Pt at (0.6667, 0.3333, 0.0000).

6.
CrAg4Pt: relaxed, GGA-PBE.

The structure belongs to space group F-43m (No. 216); the cell edges are 7.5771, 7.5771 and 7.5771 Å and the angles 90.00°, 90.00° and 90.00°. The distinct sites, in fractional coordinates, are Cr at (0.0000, 0.0000, 0.0000), Ag at (0.1250, 0.1250, 0.3750) and Pt at (0.2500, 0.2500, 0.7500).

no.,formation energy from the elements (meV/atom),electronic total energy (eV/cell)
1,75,-72.77
2,-74,-24.85
3,380,-26.62
4,425,-68.96
5,185,-17.96
6,368,-99.44